Material: CdFeAu
Method: DFT, PBE
State: relaxed

Cell: 6.1806 6.1806 6.1806 Å, 90.00 90.00 90.00°
Space group F-43m (No. 216)
Inequivalent atoms, fractional coordinates:
1 Cd 0.0000 0.0000 0.0000
2 Fe 0.2500 0.2500 0.7500
3 Au 0.0000 0.0000 0.5000

Properties
The relative energy among the computed polymorphs comes out at 233 meV/atom. As for the total magnetic moment: 3.0 μB per formula unit. For the calculated density, the calculation gives 10.27 g/cm3. The value obtained for the total energy is -3.8492 eV/atom. The crystal system is cubic. The energy relative to the elements comes out at 369.2 meV/atom.


Material: Cd2FeAu
Method: DFT, PBE
State: relaxed

Cell: 6.6121 6.6121 6.6121 Å, 90.00 90.00 90.00°
Space group F-43m (No. 216)
Inequivalent atoms, fractional coordinates:
1 Cd 0.0000 0.0000 0.0000
2 Cd 0.2500 0.2500 0.2500
3 Fe 0.2500 0.2500 0.7500
4 Au 0.0000 0.0000 0.5000

Properties
The relative energy among the computed polymorphs comes out at 88 meV/atom. As for the total magnetic moment: 3.0 μB per formula unit. For the calculated density, the calculation gives 10.97 g/cm3. The value obtained for the total energy is -3.1956 eV/atom. The crystal system is cubic. The energy relative to the elements comes out at 196.9 meV/atom.


Material: Cd2FeAu
Method: DFT, PBE
State: relaxed

Cell: 2.9961 2.9961 8.1007 Å, 90.00 90.00 90.00°
Space group P4mm (No. 99)
Inequivalent atoms, fractional coordinates:
1 Cd 0.0000 0.0000 0.0000
2 Cd 0.5000 0.5000 0.2932
3 Fe 0.0000 0.0000 0.5280
4 Au 0.5000 0.5000 0.7377

Properties
The relative energy among the computed polymorphs comes out at 0 meV/atom. As for the total magnetic moment: 2.9 μB per formula unit. For the calculated density, the calculation gives 10.91 g/cm3. The value obtained for the total energy is -3.2838 eV/atom. The crystal system is tetragonal. The energy relative to the elements comes out at 108.8 meV/atom.


Material: Cd2FeAu
Method: DFT, PBE
State: relaxed

Cell: 9.6234 2.9411 5.1764 Å, 90.00 100.61 90.00°
Space group C2/m (No. 12)
Inequivalent atoms, fractional coordinates:
1 Cd 0.2452 0.0000 0.2422
2 Fe 0.0000 0.5000 0.0000
3 Au 0.0000 0.0000 0.5000

Properties
The relative energy among the computed polymorphs comes out at 83 meV/atom. As for the total magnetic moment: 2.8 μB per formula unit. For the calculated density, the calculation gives 11.02 g/cm3. The value obtained for the total energy is -3.2005 eV/atom. The crystal system is monoclinic. The energy relative to the elements comes out at 192.0 meV/atom.


Material: CdFeAu
Method: DFT, PBE
State: relaxed

Cell: 2.9315 2.9315 11.8622 Å, 90.00 90.00 90.00°
Space group I4mm (No. 107)
Inequivalent atoms, fractional coordinates:
1 Cd 0.0000 0.0000 0.0000
2 Fe 0.0000 0.0000 0.6644
3 Au 0.0000 0.0000 0.3128

Properties
The relative energy among the computed polymorphs comes out at 0 meV/atom. As for the total magnetic moment: 2.8 μB per formula unit. For the calculated density, the calculation gives 11.90 g/cm3. The value obtained for the total energy is -4.0824 eV/atom. The crystal system is tetragonal. The energy relative to the elements comes out at 136.0 meV/atom.


Material: Cd2FeAu
Method: DFT, PBE
State: relaxed

Cell: 4.1787 4.1787 4.0913 Å, 90.00 90.00 90.00°
Space group P4/mmm (No. 123)
Inequivalent atoms, fractional coordinates:
1 Cd 0.0000 0.5000 0.0000
2 Fe 0.0000 0.0000 0.5000
3 Au 0.5000 0.5000 0.5000

Properties
The relative energy among the computed polymorphs comes out at 39 meV/atom. As for the total magnetic moment: 2.7 μB per formula unit. For the calculated density, the calculation gives 11.10 g/cm3. The value obtained for the total energy is -3.2449 eV/atom. The crystal system is tetragonal. The energy relative to the elements comes out at 147.7 meV/atom.


Material: Cd4FeAu
Method: DFT, PBE
State: relaxed

Cell: 7.8893 7.8893 7.8893 Å, 90.00 90.00 90.00°
Space group F-43m (No. 216)
Inequivalent atoms, fractional coordinates:
1 Cd 0.1249 0.1249 0.1249
2 Fe 0.2500 0.2500 0.7500
3 Au 0.0000 0.0000 0.5000

Properties
As for the total magnetic moment: 3.0 μB per formula unit. For the calculated density, the calculation gives 9.50 g/cm3. The value obtained for the total energy is -2.1356 eV/atom. The crystal system is cubic. The energy relative to the elements comes out at 431.1 meV/atom.


Material: Cd2FeAu
Method: DFT, PBE
State: relaxed

Cell: 4.3451 4.3451 7.6213 Å, 90.00 90.00 90.00°
Space group I4/mmm (No. 139)
Inequivalent atoms, fractional coordinates:
1 Cd 0.0000 0.5000 0.2500
2 Fe 0.0000 0.0000 0.0000
3 Au 0.0000 0.0000 0.5000

Properties
The relative energy among the computed polymorphs comes out at 81 meV/atom. As for the total magnetic moment: 2.8 μB per formula unit. For the calculated density, the calculation gives 11.02 g/cm3. The value obtained for the total energy is -3.2024 eV/atom. The crystal system is tetragonal. The energy relative to the elements comes out at 190.2 meV/atom.


Material: Cd2FeAu
Method: DFT, PBE
State: relaxed

Cell: 2.9918 4.8832 10.0343 Å, 90.00 90.00 90.00°
Space group Imm2 (No. 44)
Inequivalent atoms, fractional coordinates:
1 Cd 0.0000 0.0000 0.0000
2 Cd 0.0000 0.5000 0.2188
3 Fe 0.0000 0.5000 0.7348
4 Au 0.0000 0.0000 0.4541

Properties
The relative energy among the computed polymorphs comes out at 50 meV/atom. As for the total magnetic moment: 2.7 μB per formula unit. For the calculated density, the calculation gives 10.82 g/cm3. The value obtained for the total energy is -3.2335 eV/atom. The crystal system is orthorhombic. The energy relative to the elements comes out at 159.1 meV/atom.


Material: Cd2FeAu
Method: DFT, PBE
State: relaxed

Cell: 7.5544 7.5544 5.5499 Å, 90.00 90.00 90.00°
Space group I-42d (No. 122)
Inequivalent atoms, fractional coordinates:
1 Cd 0.2405 0.2500 0.1250
2 Fe 0.0000 0.0000 0.0000
3 Au 0.0000 0.0000 0.5000

Properties
The relative energy among the computed polymorphs comes out at 269 meV/atom. As for the total magnetic moment: 2.8 μB per formula unit. For the calculated density, the calculation gives 10.02 g/cm3. The value obtained for the total energy is -3.0148 eV/atom. The crystal system is tetragonal. The energy relative to the elements comes out at 377.8 meV/atom.


Material: Cd2FeAu
Method: DFT, PBE
State: relaxed

Cell: 4.2258 4.2258 8.0564 Å, 90.00 90.00 90.00°
Space group I-4m2 (No. 119)
Inequivalent atoms, fractional coordinates:
1 Cd 0.0000 0.0000 0.0000
2 Cd 0.0000 0.5000 0.2500
3 Fe 0.0000 0.5000 0.7500
4 Au 0.0000 0.0000 0.5000

Properties
The relative energy among the computed polymorphs comes out at 70 meV/atom. As for the total magnetic moment: 2.9 μB per formula unit. For the calculated density, the calculation gives 11.03 g/cm3. The value obtained for the total energy is -3.2135 eV/atom. The crystal system is tetragonal. The energy relative to the elements comes out at 179.1 meV/atom.


Material: Cd2FeAu
Method: DFT, PBE
State: relaxed

Cell: 9.4664 2.9423 5.2730 Å, 90.00 99.54 90.00°
Space group Cm (No. 8)
Inequivalent atoms, fractional coordinates:
1 Cd 0.0000 0.0000 0.0000
2 Cd 0.2396 0.0000 0.7282
3 Fe 0.4933 0.0000 0.4851
4 Au 0.2559 0.5000 0.2609

Properties
The relative energy among the computed polymorphs comes out at 58 meV/atom. As for the total magnetic moment: 2.7 μB per formula unit. For the calculated density, the calculation gives 10.95 g/cm3. The value obtained for the total energy is -3.2255 eV/atom. The crystal system is monoclinic. The energy relative to the elements comes out at 167.1 meV/atom.


Material: Cd2FeAu
Method: DFT, PBE
State: relaxed

Cell: 2.9495 2.9495 29.3535 Å, 90.00 90.00 120.00°
Space group R3m (No. 160, hexagonal axes)
Inequivalent atoms, fractional coordinates:
1 Cd 0.0000 0.0000 0.0000
2 Cd 0.0000 0.0000 0.2359
3 Fe 0.0000 0.0000 0.4919
4 Au 0.0000 0.0000 0.7530

Properties
The relative energy among the computed polymorphs comes out at 67 meV/atom. As for the total magnetic moment: 2.8 μB per formula unit. For the calculated density, the calculation gives 10.76 g/cm3. The value obtained for the total energy is -3.2172 eV/atom. The crystal system is trigonal. The energy relative to the elements comes out at 175.4 meV/atom.


Material: CdFeAu
Method: DFT, PBE
State: relaxed

Cell: 4.5689 4.5689 2.8472 Å, 90.00 90.00 120.00°
Space group P3m1 (No. 156)
Inequivalent atoms, fractional coordinates:
1 Cd 0.0000 0.0000 0.0000
2 Fe 0.6667 0.3333 0.3868
3 Au 0.3333 0.6667 0.6039

Properties
The relative energy among the computed polymorphs comes out at 92 meV/atom. As for the total magnetic moment: 3.0 μB per formula unit. For the calculated density, the calculation gives 11.78 g/cm3. The value obtained for the total energy is -3.9906 eV/atom. The crystal system is trigonal. The energy relative to the elements comes out at 227.8 meV/atom.


Material: Cd2FeAu
Method: DFT, PBE
State: relaxed

Cell: 2.9971 3.8172 6.2622 Å, 90.00 90.58 90.00°
Space group P2/m (No. 10)
Inequivalent atoms, fractional coordinates:
1 Cd 0.9995 0.0000 0.2368
2 Fe 0.5000 0.5000 0.0000
3 Au 0.5000 0.5000 0.5000

Properties
The relative energy among the computed polymorphs comes out at 48 meV/atom. As for the total magnetic moment: 2.7 μB per formula unit. For the calculated density, the calculation gives 11.07 g/cm3. The value obtained for the total energy is -3.2361 eV/atom. The crystal system is monoclinic. The energy relative to the elements comes out at 156.5 meV/atom.